No. 1
CrAsS2 | PBE-GGA | optimized geometry

## Properties
Energy relative to the elements, uncorrected (eV/atom): 0.149
Total magnetic moment (μB/cell): 0.00
Theoretical density (g/cm3): 3.9

abc: 5.7650 5.7650 9.7301
angles: 90.00 90.00 90.00
Space group I-42d (No. 122)
One atom of each set of equivalent atoms:
1 Cr 0.0000 0.0000 0.0000 (multiplicity 4)
2 As 0.0000 0.0000 0.5000 (multiplicity 4)
3 S 0.1880 0.2500 0.1250 (multiplicity 8)

***

No. 2
Tb3Pm8Y3 | PBE-GGA | optimized geometry

## Properties
Total magnetic moment (μB/cell): 0.00
Theoretical density (g/cm3): 6.7
ΔE_f (meV/atom): 106

abc: 5.6928 10.9527 15.1525
angles: 90.00 90.00 90.00
Space group Immm (No. 71)
One atom of each set of equivalent atoms:
1 Tb 0.0000 0.0000 0.0000 (multiplicity 2)
2 Tb 0.0000 0.5000 0.3185 (multiplicity 4)
3 Pm 0.0000 0.1578 0.2755 (multiplicity 8)
4 Pm 0.0000 0.3383 0.1038 (multiplicity 8)
5 Y 0.0000 0.0000 0.5000 (multiplicity 2)
6 Y 0.0000 0.3028 0.5000 (multiplicity 4)

***

No. 3
EuGdAlTl | PBE-GGA | optimized geometry

## Properties
Total magnetic moment (μB/cell): 0.95
Theoretical density (g/cm3): 8.0
ΔE_f (meV/atom): -302

abc: 7.6509 7.6509 7.6509
angles: 90.00 90.00 90.00
Space group F-43m (No. 216)
One atom of each set of equivalent atoms:
1 Eu 0.0000 0.0000 0.0000 (multiplicity 4)
2 Gd 0.0000 0.0000 0.5000 (multiplicity 4)
3 Al 0.2500 0.2500 0.2500 (multiplicity 4)
4 Tl 0.2500 0.2500 0.7500 (multiplicity 4)

***

No. 4
Mg5Ta3 | PBE-GGA | optimized geometry

## Properties
Total magnetic moment (μB/cell): 0.00
Theoretical density (g/cm3): 6.7
ΔE_f (meV/atom): 622
Distance to the lowest polymorph of the same formula (eV/atom): 0.328

abc: 8.5077 8.5077 5.2654
angles: 90.00 90.00 120.00
Space group P6_3/mcm (No. 193)
One atom of each set of equivalent atoms:
1 Mg 0.0000 0.2264 0.2500 (multiplicity 6)
2 Mg 0.3333 0.6667 0.0000 (multiplicity 4)
3 Ta 0.0000 0.4234 0.7500 (multiplicity 6)

***

No. 5
Dy4YSe7 | PBE-GGA | optimized geometry

## Properties
Energy relative to the elements, uncorrected (eV/atom): -1.864
Total magnetic moment (μB/cell): 0.00
Theoretical density (g/cm3): 6.8

abc: 13.3954 3.9683 12.1977
angles: 90.00 104.39 90.00
Space group Cm (No. 8)
One atom of each set of equivalent atoms:
1 Dy 0.0000 0.0000 0.0000 (multiplicity 2)
2 Dy 0.0876 0.5000 0.3909 (multiplicity 2)
3 Dy 0.1871 0.0000 0.7655 (multiplicity 2)
4 Dy 0.3874 0.5000 0.5781 (multiplicity 2)
5 Y 0.2742 0.5000 0.1559 (multiplicity 2)
6 Se 0.0471 0.5000 0.6284 (multiplicity 2)
7 Se 0.1285 0.5000 0.9295 (multiplicity 2)
8 Se 0.1450 0.0000 0.2262 (multiplicity 2)
9 Se 0.2276 0.0000 0.5280 (multiplicity 2)
10 Se 0.3471 0.5000 0.7935 (multiplicity 2)
11 Se 0.3870 0.0000 0.0773 (multiplicity 2)
12 Se 0.4276 0.5000 0.3628 (multiplicity 2)

***

No. 6
Tm7Ni3 | PBE-GGA | optimized geometry

## Properties
Total magnetic moment (μB/cell): 2.56
Theoretical density (g/cm3): 9.5
ΔE_f (meV/atom): -299

abc: 9.5019 9.5019 6.0790
angles: 90.00 90.00 120.00
Space group P6_3mc (No. 186)
One atom of each set of equivalent atoms:
1 Tm 0.0827 0.5414 0.0000 (multiplicity 6)
2 Tm 0.1259 0.2517 0.6833 (multiplicity 6)
3 Tm 0.3333 0.6667 0.4834 (multiplicity 2)
4 Ni 0.1897 0.3794 0.2586 (multiplicity 6)

***

No. 7
Pm2TiZnPt6 | PBE-GGA | optimized geometry

## Properties
Total magnetic moment (μB/cell): 0.00
Theoretical density (g/cm3): 11.8
ΔE_f (meV/atom): -764

abc: 9.8797 5.7055 8.5484
angles: 90.00 112.61 90.00
Space group C2/m (No. 12)
One atom of each set of equivalent atoms:
1 Pm 0.2056 0.0000 0.1172 (multiplicity 4)
2 Ti 0.0000 0.5000 0.0000 (multiplicity 2)
3 Zn 0.0000 0.0000 0.5000 (multiplicity 2)
4 Pt 0.0063 0.2447 0.7632 (multiplicity 8)
5 Pt 0.2487 0.5000 0.2369 (multiplicity 4)

***

No. 8
Y2ZnCrTe | PBE-GGA | optimized geometry

## Properties
Energy relative to the elements, uncorrected (eV/atom): 0.117
Total magnetic moment (μB/cell): 2.06
Theoretical density (g/cm3): 5.3

abc: 5.2689 5.2689 4.7349
angles: 90.00 90.00 90.00
Space group P4/mmm (No. 123)
One atom of each set of equivalent atoms:
1 Y 0.0000 0.5000 0.0000 (multiplicity 2)
2 Zn 0.0000 0.0000 0.5000 (multiplicity 1)
3 Cr 0.0000 0.0000 0.0000 (multiplicity 1)
4 Te 0.5000 0.5000 0.5000 (multiplicity 1)

***

No. 9
As2PtI | PBE-GGA | optimized geometry

## Properties
Energy relative to the elements, uncorrected (eV/atom): 0.672
Total magnetic moment (μB/cell): 0.00
Theoretical density (g/cm3): 9.6
Distance to the lowest polymorph of the same formula (eV/atom): 0.795

abc: 6.8970 6.8970 6.8970
angles: 90.00 90.00 90.00
Space group Fm-3m (No. 225)
One atom of each set of equivalent atoms:
1 As 0.2500 0.2500 0.2500 (multiplicity 8)
2 Pt 0.0000 0.0000 0.0000 (multiplicity 4)
3 I 0.0000 0.0000 0.5000 (multiplicity 4)

***

No. 10
AlNiC3 | PBE-GGA | optimized geometry

## Properties
Total magnetic moment (μB/cell): 0.00
Theoretical density (g/cm3): 3.5
ΔE_f (meV/atom): 2455
Distance to the lowest polymorph of the same formula (eV/atom): 0.297

abc: 3.8537 3.8537 3.8537
angles: 90.00 90.00 90.00
Space group Pm-3m (No. 221)
One atom of each set of equivalent atoms:
1 Al 0.0000 0.0000 0.0000 (multiplicity 1)
2 Ni 0.5000 0.5000 0.5000 (multiplicity 1)
3 C 0.0000 0.0000 0.5000 (multiplicity 3)

***

No. 11
NdGdInPt | PBE-GGA | optimized geometry

## Properties
Total magnetic moment (μB/cell): 28.46
Theoretical density (g/cm3): 10.0
ΔE_f (meV/atom): -681

abc: 7.4144 7.4144 7.4144
angles: 90.00 90.00 90.00
Space group F-43m (No. 216)
One atom of each set of equivalent atoms:
1 Nd 0.0000 0.0000 0.0000 (multiplicity 4)
2 Gd 0.0000 0.0000 0.5000 (multiplicity 4)
3 In 0.2500 0.2500 0.7500 (multiplicity 4)
4 Pt 0.2500 0.2500 0.2500 (multiplicity 4)

***

No. 12
LaAs2IBr | PBE-GGA | optimized geometry

## Properties
Energy relative to the elements, uncorrected (eV/atom): 0.165
Total magnetic moment (μB/cell): 0.12
Theoretical density (g/cm3): 5.2
Distance to the lowest polymorph of the same formula (eV/atom): 0.165

abc: 5.4035 5.4035 5.4467
angles: 90.00 90.00 90.00
Space group P4/mmm (No. 123)
One atom of each set of equivalent atoms:
1 La 0.0000 0.0000 0.0000 (multiplicity 1)
2 As 0.0000 0.5000 0.5000 (multiplicity 2)
3 I 0.5000 0.5000 0.5000 (multiplicity 1)
4 Br 0.5000 0.5000 0.0000 (multiplicity 1)